# 1
# CoReCl2

An optimized crystal structure of CoReCl2 (PBE, Alexandria).

Unit cell a=2.921 b=2.921 c=8.136 alpha=90.00 beta=90.00 gamma=90.00
Element x y z (fractional)
Cl (0.000, 0.000, 0.917)
Co (0.000, 0.000, 0.532)
Re (0.500, 0.500, 0.708)
Cl (0.500, 0.500, 0.343)

Calculated values
DOS at the Fermi energy ... 0.72 states/eV per atom
Calculated volume ... 69.4 Å³ per cell
VASP energy ... -5.586 eV per atom
Symmetry ... P4mm, No. 99

***

# 2
# ZrBeIn

An optimized crystal structure of ZrBeIn (PBE, Alexandria).

Unit cell a=4.584 b=4.584 c=4.584 alpha=60.00 beta=60.00 gamma=60.00
Element x y z (fractional)
Zr (0.250, 0.250, 0.250)
In (0.500, 0.500, 0.500)
Be (0.000, 0.000, 0.000)

Calculated values
DOS at the Fermi energy ... 0.68 states/eV per atom
Calculated volume ... 68.1 Å³ per cell
VASP energy ... -4.356 eV per atom
Symmetry ... F-43m, No. 216
Energy of formation from the pure elements ... 647.9 meV per atom

***

# 3
# Dy2TmPuSe4

An optimized crystal structure of Dy2TmPuSe4 (PBE, Alexandria).

Unit cell a=4.057 b=7.070 c=7.066 alpha=109.14 beta=90.00 gamma=90.00
Each line ends with the local moment (μB).
Element x y z (fractional)
Se (0.500, 0.755, 0.752)  -0.01
Tm (0.000, 0.000, 0.000)  0.06
Se (0.000, 0.755, 0.252)  -0.03
Pu (0.500, 0.500, 0.000)  5.46
Dy (0.500, 0.000, 0.500)  -0.03
Se (0.500, 0.245, 0.248)  -0.01
Se (0.000, 0.245, 0.748)  -0.03
Dy (0.000, 0.500, 0.500)  0.06

Calculated values
DOS at the Fermi energy ... 1.07 states/eV per atom
Calculated volume ... 191.5 Å³ per cell
VASP energy ... -6.937 eV per atom
Symmetry ... P2/m, No. 10

***

# 4
# CePmTh2Se4

An optimized crystal structure of CePmTh2Se4 (PBE, Alexandria).

Unit cell a=4.202 b=7.198 c=7.330 alpha=109.41 beta=90.00 gamma=90.00
Each line ends with the local moment (μB).
Element x y z (fractional)
Th (0.000, 0.500, 0.500)  -0.01
Pm (0.500, 0.500, 0.000)  0.01
Se (0.500, 0.249, 0.246)  -0.01
Se (0.000, 0.252, 0.754)  0.00
Se (0.000, 0.748, 0.246)  0.00
Se (0.500, 0.751, 0.754)  -0.01
Th (0.500, 0.000, 0.500)  0.00
Ce (0.000, 0.000, 0.000)  0.58

Calculated values
DOS at the Fermi energy ... 1.12 states/eV per atom
Calculated volume ... 209.1 Å³ per cell
VASP energy ... -6.618 eV per atom
Symmetry ... P2/m, No. 10

***

# 5
# CeTe

An optimized crystal structure of CeTe (PBE, Alexandria).

Unit cell a=3.871 b=3.871 c=3.871 alpha=90.00 beta=90.00 gamma=90.00
Each line ends with the local moment (μB).
Element x y z (fractional)
Ce (0.000, 0.000, 0.000)  1.27
Te (0.500, 0.500, 0.500)  -0.05

Calculated values
DOS at the Fermi energy ... 3.30 states/eV per atom
Calculated volume ... 58.0 Å³ per cell
VASP energy ... -5.777 eV per atom
Symmetry ... Pm-3m, No. 221

***

# 6
# HgBi3Sb

An optimized crystal structure of HgBi3Sb (PBE, Alexandria).

Unit cell a=5.911 b=5.911 c=5.911 alpha=90.00 beta=90.00 gamma=90.00
Element x y z (fractional)
Hg (0.500, 0.500, 0.500)
Sb (0.000, 0.000, 0.000)
Bi (0.000, 0.000, 0.500)
Bi (0.000, 0.500, 0.000)
Bi (0.500, 0.000, 0.000)

Calculated values
DOS at the Fermi energy ... 0.87 states/eV per atom
Calculated volume ... 206.6 Å³ per cell
VASP energy ... -2.564 eV per atom
Symmetry ... Pm-3m, No. 221

***

# 7
# Fe4Ni2Pt

An optimized crystal structure of Fe4Ni2Pt (PBE, Alexandria).

Unit cell a=8.108 b=8.108 c=8.108 alpha=60.00 beta=60.00 gamma=60.00
Each line ends with the local moment (μB).
Element x y z (fractional)
Ni (0.373, 0.373, 0.882)  0.89
Ni (0.877, 0.368, 0.877)  0.89
Fe (0.625, 0.625, 0.625)  2.69
Pt (0.125, 0.625, 0.125)  0.46
Fe (0.508, 0.992, 0.508)  2.86
Fe (0.625, 0.125, 0.625)  2.69
Fe (0.992, 0.508, 0.992)  2.86
Ni (0.877, 0.877, 0.877)  0.89
Fe (0.742, 0.258, 0.742)  2.86
Ni (0.368, 0.877, 0.877)  0.89
Ni (0.373, 0.882, 0.373)  0.89
Fe (0.258, 0.258, 0.742)  2.86
Fe (0.742, 0.742, 0.258)  2.86
Fe (0.125, 0.625, 0.625)  2.69
Pt (0.125, 0.125, 0.625)  0.46
Fe (0.508, 0.508, 0.992)  2.86
Pt (0.625, 0.125, 0.125)  0.46
Fe (0.992, 0.508, 0.508)  2.86
Ni (0.373, 0.373, 0.373)  0.89
Ni (0.882, 0.373, 0.373)  0.89
Fe (0.625, 0.625, 0.125)  2.69
Fe (0.742, 0.258, 0.258)  2.86
Fe (0.508, 0.992, 0.992)  2.86
Fe (0.992, 0.992, 0.508)  2.86
Fe (0.258, 0.742, 0.258)  2.86
Fe (0.258, 0.742, 0.742)  2.86
Ni (0.877, 0.877, 0.368)  0.89
Pt (0.125, 0.125, 0.125)  0.46

Calculated values
DOS at the Fermi energy ... 1.01 states/eV per atom
Calculated volume ... 376.9 Å³ per cell
VASP energy ... -7.182 eV per atom
Symmetry ... Fd-3m, No. 227
Energy of formation from the pure elements ... 168.4 meV per atom

***

# 8
# BaPmPO5

An optimized crystal structure of BaPmPO5 (PBE, Alexandria).

Unit cell a=6.177 b=6.177 c=7.954 alpha=103.14 beta=103.14 gamma=107.06
Element x y z (fractional)
O (0.131, 0.684, 0.857)
O (0.433, 0.251, 0.111)
Pm (0.000, 0.000, 0.000)
P (0.316, 0.684, 0.750)
O (0.251, 0.433, 0.611)
Ba (0.337, 0.663, 0.250)
O (0.907, 0.093, 0.750)
O (0.749, 0.567, 0.389)
O (0.567, 0.749, 0.889)
P (0.684, 0.316, 0.250)
Ba (0.663, 0.337, 0.750)
O (0.684, 0.131, 0.357)
O (0.316, 0.869, 0.643)
O (0.093, 0.907, 0.250)
Pm (0.000, 0.000, 0.500)
O (0.869, 0.316, 0.143)

Calculated values
DOS at the Fermi energy ... 0.00 states/eV per atom
Calculated volume ... 268.1 Å³ per cell
VASP energy ... -7.494 eV per atom
Symmetry ... C2/c, No. 15